The following is a DFT calculation (GGA-PBE) of a relaxed Hf3CuN crystal.

Summary:
M_tot	0.00	μB/f.u.
volume	83.22	Å³ per cell
space group	Pm-3m (221)

a = 4.3660 Å, b = 4.3660 Å, c = 4.3660 Å
α = 90.00°, β = 90.00°, γ = 90.00°
Fractional coordinates of all 5 atoms:
1 Hf 0.0000 0.0000 0.5000
2 Hf 0.0000 0.5000 0.0000
3 Hf 0.5000 0.0000 0.0000
4 Cu 0.5000 0.5000 0.5000
5 N 0.0000 0.0000 0.0000



The following is a DFT calculation (GGA-PBE) of a relaxed Hf2CuN crystal.

Summary:
M_tot	0.00	μB/f.u.
volume	179.91	Å³ per cell
space group	R-3m (166)

a = 3.2143 Å, b = 3.2143 Å, c = 20.1065 Å
α = 90.00°, β = 90.00°, γ = 120.00°
Fractional coordinates of all 12 atoms:
1 Hf 0.0000 0.0000 0.2300
2 Hf 0.0000 0.0000 0.7700
3 Hf 0.3333 0.6667 0.4367
4 Hf 0.3333 0.6667 0.8966
5 Hf 0.6667 0.3333 0.1034
6 Hf 0.6667 0.3333 0.5633
7 Cu 0.0000 0.0000 0.0000
8 Cu 0.3333 0.6667 0.6667
9 Cu 0.6667 0.3333 0.3333
10 N 0.0000 0.0000 0.5000
11 N 0.3333 0.6667 0.1667
12 N 0.6667 0.3333 0.8333



The following is a DFT calculation (GGA-PBE) of a relaxed Hf12Cu6N crystal.

Summary:
M_tot	0.00	μB/f.u.
volume	357.14	Å³ per cell
space group	R-3 (148)

a = 7.1151 Å, b = 7.1151 Å, c = 7.1151 Å
α = 94.20°, β = 94.20°, γ = 94.20°
Fractional coordinates of all 19 atoms:
1 Hf 0.0382 0.6992 0.9201
2 Hf 0.0799 0.9618 0.3008
3 Hf 0.2012 0.5450 0.4177
4 Hf 0.3008 0.0799 0.9618
5 Hf 0.4177 0.2012 0.5450
6 Hf 0.4550 0.5823 0.7988
7 Hf 0.5450 0.4177 0.2012
8 Hf 0.5823 0.7988 0.4550
9 Hf 0.6992 0.9201 0.0382
10 Hf 0.7988 0.4550 0.5823
11 Hf 0.9201 0.0382 0.6992
12 Hf 0.9618 0.3008 0.0799
13 Cu 0.1348 0.3603 0.7460
14 Cu 0.2540 0.8652 0.6397
15 Cu 0.3603 0.7460 0.1348
16 Cu 0.6397 0.2540 0.8652
17 Cu 0.7460 0.1348 0.3603
18 Cu 0.8652 0.6397 0.2540
19 N 0.5000 0.5000 0.5000



The following is a DFT calculation (GGA-PBE) of a relaxed Hf6CuN crystal.

Summary:
M_tot	0.00	μB/f.u.
volume	155.47	Å³ per cell
space group	P-1 (2)

a = 5.7234 Å, b = 5.7423 Å, c = 6.0699 Å
α = 89.53°, β = 63.45°, γ = 63.72°
Fractional coordinates of all 8 atoms:
1 Hf 0.0592 0.3833 0.2227
2 Hf 0.2937 0.7822 0.2403
3 Hf 0.3046 0.9605 0.7640
4 Hf 0.6954 0.0395 0.2360
5 Hf 0.7063 0.2178 0.7597
6 Hf 0.9408 0.6167 0.7773
7 Cu 0.5000 0.5000 0.5000
8 N 0.5000 0.0000 0.0000



The following is a DFT calculation (GGA-PBE) of a relaxed Hf3CuN crystal.

Summary:
M_tot	0.00	μB/f.u.
volume	327.01	Å³ per cell
space group	P2_1/c (14)

a = 7.7357 Å, b = 5.5762 Å, c = 8.2480 Å
α = 90.00°, β = 113.20°, γ = 90.00°
Fractional coordinates of all 20 atoms:
1 Hf 0.0636 0.0843 0.3512
2 Hf 0.0636 0.4157 0.8512
3 Hf 0.1979 0.5793 0.5451
4 Hf 0.1979 0.9207 0.0451
5 Hf 0.3618 0.1079 0.7670
6 Hf 0.3618 0.3921 0.2670
7 Hf 0.6382 0.6079 0.7330
8 Hf 0.6382 0.8921 0.2330
9 Hf 0.8021 0.0793 0.9549
10 Hf 0.8021 0.4207 0.4549
11 Hf 0.9364 0.5843 0.1488
12 Hf 0.9364 0.9157 0.6488
13 Cu 0.4031 0.6544 0.9079
14 Cu 0.4031 0.8456 0.4079
15 Cu 0.5969 0.1544 0.5921
16 Cu 0.5969 0.3456 0.0921
17 N 0.0762 0.2489 0.6033
18 N 0.0762 0.2511 0.1033
19 N 0.9238 0.7489 0.8967
20 N 0.9238 0.7511 0.3967



The following is a DFT calculation (GGA-PBE) of a relaxed HfCuN crystal.

Summary:
M_tot	0.00	μB/f.u.
volume	166.57	Å³ per cell
space group	I4/mmm (139)

a = 3.1293 Å, b = 3.1293 Å, c = 17.0104 Å
α = 90.00°, β = 90.00°, γ = 90.00°
Fractional coordinates of all 12 atoms:
1 Hf 0.0000 0.0000 0.1796
2 Hf 0.0000 0.0000 0.8204
3 Hf 0.5000 0.5000 0.3204
4 Hf 0.5000 0.5000 0.6796
5 Cu 0.0000 0.0000 0.4328
6 Cu 0.0000 0.0000 0.5672
7 Cu 0.5000 0.5000 0.0672
8 Cu 0.5000 0.5000 0.9328
9 N 0.0000 0.0000 0.3098
10 N 0.0000 0.0000 0.6902
11 N 0.5000 0.5000 0.1902
12 N 0.5000 0.5000 0.8098



The following is a DFT calculation (GGA-PBE) of a relaxed Hf8Cu2N3 crystal.

Summary:
M_tot	0.00	μB/f.u.
volume	223.01	Å³ per cell
space group	C2/m (12)

a = 6.8823 Å, b = 6.8823 Å, c = 5.8109 Å
α = 101.53°, β = 101.53°, γ = 56.30°
Fractional coordinates of all 13 atoms:
1 Hf 0.1028 0.1028 0.9115
2 Hf 0.1509 0.6528 0.6241
3 Hf 0.3472 0.8491 0.3759
4 Hf 0.3917 0.3917 0.1151
5 Hf 0.6083 0.6083 0.8849
6 Hf 0.6528 0.1509 0.6241
7 Hf 0.8491 0.3472 0.3759
8 Hf 0.8972 0.8972 0.0885
9 Cu 0.2450 0.2450 0.6630
10 Cu 0.7550 0.7550 0.3370
11 N 0.2661 0.7339 0.0000
12 N 0.5000 0.5000 0.5000
13 N 0.7339 0.2661 0.0000



The following is a DFT calculation (GGA-PBE) of a relaxed HfCuN2 crystal.

Summary:
M_tot	0.00	μB/f.u.
volume	154.31	Å³ per cell
space group	R-3m (166)

a = 3.1512 Å, b = 3.1512 Å, c = 17.9440 Å
α = 90.00°, β = 90.00°, γ = 120.00°
Fractional coordinates of all 12 atoms:
1 Hf 0.0000 0.0000 0.0000
2 Hf 0.3333 0.6667 0.6667
3 Hf 0.6667 0.3333 0.3333
4 Cu 0.0000 0.0000 0.5000
5 Cu 0.3333 0.6667 0.1667
6 Cu 0.6667 0.3333 0.8333
7 N 0.0000 0.0000 0.1147
8 N 0.0000 0.0000 0.8853
9 N 0.3333 0.6667 0.5519
10 N 0.3333 0.6667 0.7814
11 N 0.6667 0.3333 0.2186
12 N 0.6667 0.3333 0.4481



The following is a DFT calculation (GGA-PBE) of a relaxed HfCu3N crystal.

Summary:
M_tot	0.00	μB/f.u.
volume	113.24	Å³ per cell
space group	Pm-3m (221)

a = 4.8381 Å, b = 4.8381 Å, c = 4.8381 Å
α = 90.00°, β = 90.00°, γ = 90.00°
Fractional coordinates of all 5 atoms:
1 Hf 0.0000 0.0000 0.0000
2 Cu 0.0000 0.0000 0.5000
3 Cu 0.0000 0.5000 0.0000
4 Cu 0.5000 0.0000 0.0000
5 N 0.5000 0.5000 0.5000



The following is a DFT calculation (GGA-PBE) of a relaxed Hf2CuN crystal.

Summary:
M_tot	0.00	μB/f.u.
volume	251.47	Å³ per cell
space group	Pnma (62)

a = 6.6133 Å, b = 3.4326 Å, c = 11.0775 Å
α = 90.00°, β = 90.00°, γ = 90.00°
Fractional coordinates of all 16 atoms:
1 Hf 0.1695 0.2500 0.2479
2 Hf 0.1902 0.2500 0.5237
3 Hf 0.3098 0.7500 0.0237
4 Hf 0.3305 0.7500 0.7479
5 Hf 0.6695 0.2500 0.2521
6 Hf 0.6902 0.2500 0.9763
7 Hf 0.8098 0.7500 0.4763
8 Hf 0.8305 0.7500 0.7521
9 Cu 0.0682 0.2500 0.8880
10 Cu 0.4318 0.7500 0.3880
11 Cu 0.5682 0.2500 0.6120
12 Cu 0.9318 0.7500 0.1120
13 N 0.0633 0.7500 0.6098
14 N 0.4367 0.2500 0.1098
15 N 0.5633 0.7500 0.8902
16 N 0.9367 0.2500 0.3902



The following is a DFT calculation (GGA-PBE) of a relaxed HfCu2N crystal.

Summary:
M_tot	0.00	μB/f.u.
volume	213.67	Å³ per cell
space group	I-42d (122)

a = 7.0454 Å, b = 7.0454 Å, c = 4.3046 Å
α = 90.00°, β = 90.00°, γ = 90.00°
Fractional coordinates of all 16 atoms:
1 Hf 0.0000 0.0000 0.0000
2 Hf 0.0000 0.5000 0.2500
3 Hf 0.5000 0.0000 0.7500
4 Hf 0.5000 0.5000 0.5000
5 Cu 0.1709 0.2500 0.6250
6 Cu 0.2500 0.6709 0.8750
7 Cu 0.2500 0.8291 0.3750
8 Cu 0.3291 0.2500 0.1250
9 Cu 0.6709 0.7500 0.1250
10 Cu 0.7500 0.1709 0.3750
11 Cu 0.7500 0.3291 0.8750
12 Cu 0.8291 0.7500 0.6250
13 N 0.0000 0.0000 0.5000
14 N 0.0000 0.5000 0.7500
15 N 0.5000 0.0000 0.2500
16 N 0.5000 0.5000 0.0000



The following is a DFT calculation (GGA-PBE) of a relaxed Hf8CuN6 crystal.

Summary:
M_tot	0.00	μB/f.u.
volume	228.00	Å³ per cell
space group	R-3 (148)

a = 6.1134 Å, b = 6.1134 Å, c = 6.1134 Å
α = 92.11°, β = 92.11°, γ = 92.11°
Fractional coordinates of all 15 atoms:
1 Hf 0.1068 0.3625 0.7808
2 Hf 0.2192 0.8932 0.6375
3 Hf 0.2406 0.2406 0.2406
4 Hf 0.3625 0.7808 0.1068
5 Hf 0.6375 0.2192 0.8932
6 Hf 0.7594 0.7594 0.7594
7 Hf 0.7808 0.1068 0.3625
8 Hf 0.8932 0.6375 0.2192
9 Cu 0.5000 0.5000 0.5000
10 N 0.0780 0.6928 0.8868
11 N 0.1132 0.9220 0.3072
12 N 0.3072 0.1132 0.9220
13 N 0.6928 0.8868 0.0780
14 N 0.8868 0.0780 0.6928
15 N 0.9220 0.3072 0.1132



| no. | ΔE_f (raw) (eV per formula unit) |
| --- | --- |
| 1 | -3.5 |
| 2 | -3.5 |
| 3 | -1.2 |
| 4 | -2.3 |
| 5 | -3.6 |
| 6 | -2.4 |
| 7 | -8.5 |
| 8 | 2.7 |
| 9 | 12.7 |
| 10 | -3.0 |
| 11 | -0.2 |
| 12 | -16.7 |